ReRh2CN: relaxed, PBE.

Computed properties:
magnetic moment: 0.0 μB/cell
uncorrected energy: -7.26 eV/atom
formation energy (no corrections): 1.677 eV per atom

Cell and atoms, written as CIF:
```
data_ReRh2CN
_chemical_formula_sum 'Re1 Rh2 C1 N1'
_symmetry_space_group_name_H-M 'P 1'
_symmetry_Int_Tables_number 1
_cell_length_a 3.885
_cell_length_b 3.885
_cell_length_c 4.130
_cell_angle_alpha 90.00
_cell_angle_beta 90.00
_cell_angle_gamma 90.00
loop_
_symmetry_equiv_pos_as_xyz
'x,y,z'
loop_
_atom_site_label
_atom_site_type_symbol
_atom_site_fract_x
_atom_site_fract_y
_atom_site_fract_z
Re1 Re 0.000 0.000 0.000
Rh1 Rh 0.000 0.500 0.500
Rh2 Rh 0.500 0.000 0.500
C1 C 0.500 0.500 0.500
N1 N 0.500 0.500 0.000
```

***

ReCS2N: relaxed, PBE.

Computed properties:
ΔE to the lowest computed polymorph: 248 meV/atom
magnetic moment: 1.1 μB/cell
uncorrected energy: -6.03 eV/atom
formation energy (no corrections): 1.617 eV per atom

Cell and atoms, written as CIF:
```
data_ReCS2N
_chemical_formula_sum 'Re1 C1 S2 N1'
_symmetry_space_group_name_H-M 'P 1'
_symmetry_Int_Tables_number 1
_cell_length_a 4.711
_cell_length_b 4.711
_cell_length_c 3.732
_cell_angle_alpha 90.00
_cell_angle_beta 90.00
_cell_angle_gamma 90.00
loop_
_symmetry_equiv_pos_as_xyz
'x,y,z'
loop_
_atom_site_label
_atom_site_type_symbol
_atom_site_fract_x
_atom_site_fract_y
_atom_site_fract_z
Re1 Re 0.000 0.000 0.000
C1 C 0.500 0.500 0.500
S1 S 0.000 0.500 0.000
S2 S 0.500 0.000 0.000
N1 N 0.000 0.000 0.500
```

***

ReCS2N: relaxed, PBE.

Computed properties:
ΔE to the lowest computed polymorph: 0 meV/atom
magnetic moment: 1.1 μB/cell
uncorrected energy: -6.28 eV/atom
formation energy (no corrections): 1.369 eV per atom

Cell and atoms, written as CIF:
```
data_ReCS2N
_chemical_formula_sum 'Re1 C1 S2 N1'
_symmetry_space_group_name_H-M 'P 1'
_symmetry_Int_Tables_number 1
_cell_length_a 5.280
_cell_length_b 5.280
_cell_length_c 2.477
_cell_angle_alpha 90.00
_cell_angle_beta 90.00
_cell_angle_gamma 90.00
loop_
_symmetry_equiv_pos_as_xyz
'x,y,z'
loop_
_atom_site_label
_atom_site_type_symbol
_atom_site_fract_x
_atom_site_fract_y
_atom_site_fract_z
Re1 Re 0.000 0.000 0.000
C1 C 0.500 0.500 0.500
S1 S 0.000 0.500 0.500
S2 S 0.500 0.000 0.500
N1 N 0.500 0.500 0.000
```

***

ReCSe2N: relaxed, PBE.

Computed properties:
ΔE to the lowest computed polymorph: 301 meV/atom
magnetic moment: 1.0 μB/cell
uncorrected energy: -5.79 eV/atom
formation energy (no corrections): 1.604 eV per atom

Cell and atoms, written as CIF:
```
data_ReCSe2N
_chemical_formula_sum 'Re1 C1 Se2 N1'
_symmetry_space_group_name_H-M 'P 1'
_symmetry_Int_Tables_number 1
_cell_length_a 4.967
_cell_length_b 4.967
_cell_length_c 3.725
_cell_angle_alpha 90.00
_cell_angle_beta 90.00
_cell_angle_gamma 90.00
loop_
_symmetry_equiv_pos_as_xyz
'x,y,z'
loop_
_atom_site_label
_atom_site_type_symbol
_atom_site_fract_x
_atom_site_fract_y
_atom_site_fract_z
Re1 Re 0.000 0.000 0.000
C1 C 0.500 0.500 0.500
Se1 Se 0.000 0.500 0.000
Se2 Se 0.500 0.000 0.000
N1 N 0.000 0.000 0.500
```

***

ReCSeN2: relaxed, PBE.

Computed properties:
ΔE to the lowest computed polymorph: 0 meV/atom
magnetic moment: 0.9 μB/cell
uncorrected energy: -6.76 eV/atom
formation energy (no corrections): 1.598 eV per atom

Cell and atoms, written as CIF:
```
data_ReCSeN2
_chemical_formula_sum 'Re1 C1 Se1 N2'
_symmetry_space_group_name_H-M 'P 1'
_symmetry_Int_Tables_number 1
_cell_length_a 3.762
_cell_length_b 3.762
_cell_length_c 5.430
_cell_angle_alpha 90.00
_cell_angle_beta 90.00
_cell_angle_gamma 90.00
loop_
_symmetry_equiv_pos_as_xyz
'x,y,z'
loop_
_atom_site_label
_atom_site_type_symbol
_atom_site_fract_x
_atom_site_fract_y
_atom_site_fract_z
Re1 Re 0.000 0.000 0.000
C1 C 0.500 0.500 0.500
Se1 Se 0.000 0.000 0.500
N1 N 0.000 0.500 0.000
N2 N 0.500 0.000 0.000
```

***

ReCSeN2: relaxed, PBE.

Computed properties:
ΔE to the lowest computed polymorph: 857 meV/atom
magnetic moment: 1.0 μB/cell
uncorrected energy: -5.91 eV/atom
formation energy (no corrections): 2.455 eV per atom

Cell and atoms, written as CIF:
```
data_ReCSeN2
_chemical_formula_sum 'Re1 C1 Se1 N2'
_symmetry_space_group_name_H-M 'P 1'
_symmetry_Int_Tables_number 1
_cell_length_a 3.666
_cell_length_b 3.666
_cell_length_c 3.917
_cell_angle_alpha 90.00
_cell_angle_beta 90.00
_cell_angle_gamma 90.00
loop_
_symmetry_equiv_pos_as_xyz
'x,y,z'
loop_
_atom_site_label
_atom_site_type_symbol
_atom_site_fract_x
_atom_site_fract_y
_atom_site_fract_z
Re1 Re 0.000 0.000 0.000
C1 C 0.500 0.500 0.500
Se1 Se 0.500 0.500 0.000
N1 N 0.000 0.500 0.500
N2 N 0.500 0.000 0.500
```

***

ReCSe2N: relaxed, PBE.

Computed properties:
ΔE to the lowest computed polymorph: 0 meV/atom
magnetic moment: 1.7 μB/cell
uncorrected energy: -6.09 eV/atom
formation energy (no corrections): 1.304 eV per atom

Cell and atoms, written as CIF:
```
data_ReCSe2N
_chemical_formula_sum 'Re1 C1 Se2 N1'
_symmetry_space_group_name_H-M 'P 1'
_symmetry_Int_Tables_number 1
_cell_length_a 5.736
_cell_length_b 5.736
_cell_length_c 2.487
_cell_angle_alpha 90.00
_cell_angle_beta 90.00
_cell_angle_gamma 90.00
loop_
_symmetry_equiv_pos_as_xyz
'x,y,z'
loop_
_atom_site_label
_atom_site_type_symbol
_atom_site_fract_x
_atom_site_fract_y
_atom_site_fract_z
Re1 Re 0.000 0.000 0.000
C1 C 0.500 0.500 0.500
Se1 Se 0.000 0.500 0.500
Se2 Se 0.500 0.000 0.500
N1 N 0.500 0.500 0.000
```

***

ReSnC2N: relaxed, PBE.

Computed properties:
ΔE to the lowest computed polymorph: 762 meV/atom
magnetic moment: 0.0 μB/cell
uncorrected energy: -5.47 eV/atom
formation energy (no corrections): 3.177 eV per atom

Cell and atoms, written as CIF:
```
data_ReSnC2N
_chemical_formula_sum 'Re1 Sn1 C2 N1'
_symmetry_space_group_name_H-M 'P 1'
_symmetry_Int_Tables_number 1
_cell_length_a 4.130
_cell_length_b 4.130
_cell_length_c 4.026
_cell_angle_alpha 90.00
_cell_angle_beta 90.00
_cell_angle_gamma 90.00
loop_
_symmetry_equiv_pos_as_xyz
'x,y,z'
loop_
_atom_site_label
_atom_site_type_symbol
_atom_site_fract_x
_atom_site_fract_y
_atom_site_fract_z
Re1 Re 0.000 0.000 0.000
Sn1 Sn 0.500 0.500 0.500
C1 C 0.000 0.500 0.500
C2 C 0.500 0.000 0.500
N1 N 0.500 0.500 0.000
```

***

ReSnC2N: relaxed, PBE.

Computed properties:
ΔE to the lowest computed polymorph: 0 meV/atom
magnetic moment: 0.0 μB/cell
uncorrected energy: -6.23 eV/atom
formation energy (no corrections): 2.415 eV per atom

Cell and atoms, written as CIF:
```
data_ReSnC2N
_chemical_formula_sum 'Re1 Sn1 C2 N1'
_symmetry_space_group_name_H-M 'P 1'
_symmetry_Int_Tables_number 1
_cell_length_a 4.156
_cell_length_b 4.156
_cell_length_c 3.776
_cell_angle_alpha 90.00
_cell_angle_beta 90.00
_cell_angle_gamma 90.00
loop_
_symmetry_equiv_pos_as_xyz
'x,y,z'
loop_
_atom_site_label
_atom_site_type_symbol
_atom_site_fract_x
_atom_site_fract_y
_atom_site_fract_z
Re1 Re 0.000 0.000 0.000
Sn1 Sn 0.500 0.500 0.000
C1 C 0.000 0.500 0.500
C2 C 0.500 0.000 0.500
N1 N 0.000 0.000 0.500
```

***

ReTe2CN: relaxed, PBE.

Computed properties:
ΔE to the lowest computed polymorph: 48 meV/atom
magnetic moment: 0.7 μB/cell
uncorrected energy: -5.69 eV/atom
formation energy (no corrections): 1.565 eV per atom

Cell and atoms, written as CIF:
```
data_ReTe2CN
_chemical_formula_sum 'Re1 Te2 C1 N1'
_symmetry_space_group_name_H-M 'P 1'
_symmetry_Int_Tables_number 1
_cell_length_a 5.310
_cell_length_b 5.310
_cell_length_c 3.711
_cell_angle_alpha 90.00
_cell_angle_beta 90.00
_cell_angle_gamma 90.00
loop_
_symmetry_equiv_pos_as_xyz
'x,y,z'
loop_
_atom_site_label
_atom_site_type_symbol
_atom_site_fract_x
_atom_site_fract_y
_atom_site_fract_z
Re1 Re 0.000 0.000 0.000
Te1 Te 0.000 0.500 0.000
Te2 Te 0.500 0.000 0.000
C1 C 0.500 0.500 0.500
N1 N 0.000 0.000 0.500
```

***

ReTe2CN: relaxed, PBE.

Computed properties:
ΔE to the lowest computed polymorph: 0 meV/atom
magnetic moment: 1.6 μB/cell
uncorrected energy: -5.74 eV/atom
formation energy (no corrections): 1.517 eV per atom

Cell and atoms, written as CIF:
```
data_ReTe2CN
_chemical_formula_sum 'Re1 Te2 C1 N1'
_symmetry_space_group_name_H-M 'P 1'
_symmetry_Int_Tables_number 1
_cell_length_a 6.052
_cell_length_b 6.052
_cell_length_c 2.604
_cell_angle_alpha 90.00
_cell_angle_beta 90.00
_cell_angle_gamma 90.00
loop_
_symmetry_equiv_pos_as_xyz
'x,y,z'
loop_
_atom_site_label
_atom_site_type_symbol
_atom_site_fract_x
_atom_site_fract_y
_atom_site_fract_z
Re1 Re 0.000 0.000 0.000
Te1 Te 0.000 0.500 0.500
Te2 Te 0.500 0.000 0.500
C1 C 0.500 0.500 0.500
N1 N 0.500 0.500 0.000
```

***

Rh2C3N6: relaxed, PBE.

Computed properties:
ΔE to the lowest computed polymorph: 0 meV/atom
magnetic moment: 0.0 μB/cell
uncorrected energy: -8.09 eV/atom
formation energy (no corrections): 0.303 eV per atom

Cell and atoms, written as CIF:
```
data_Rh2C3N6
_chemical_formula_sum 'Rh4 C6 N12'
_symmetry_space_group_name_H-M 'P 1'
_symmetry_Int_Tables_number 1
_cell_length_a 9.907
_cell_length_b 9.907
_cell_length_c 9.907
_cell_angle_alpha 32.86
_cell_angle_beta 32.86
_cell_angle_gamma 32.86
loop_
_symmetry_equiv_pos_as_xyz
'x,y,z'
loop_
_atom_site_label
_atom_site_type_symbol
_atom_site_fract_x
_atom_site_fract_y
_atom_site_fract_z
Rh1 Rh 0.165 0.165 0.165
Rh2 Rh 0.335 0.335 0.335
Rh3 Rh 0.665 0.665 0.665
Rh4 Rh 0.835 0.835 0.835
C1 C 0.070 0.750 0.430
C2 C 0.250 0.570 0.930
C3 C 0.430 0.070 0.750
C4 C 0.570 0.930 0.250
C5 C 0.750 0.430 0.070
C6 C 0.930 0.250 0.570
N1 N 0.042 0.662 0.416
N2 N 0.084 0.838 0.458
N3 N 0.162 0.542 0.916
N4 N 0.338 0.584 0.958
N5 N 0.416 0.042 0.662
N6 N 0.458 0.084 0.838
N7 N 0.542 0.916 0.162
N8 N 0.584 0.958 0.338
N9 N 0.662 0.416 0.042
N10 N 0.838 0.458 0.084
N11 N 0.916 0.162 0.542
N12 N 0.958 0.338 0.584
```